(1)
Entry from Alexandria via LeMat-Bulk: a relaxed BAuSe2N crystal (GGA-PBE).

Values from the calculation:
Formation energy from raw total energies = 0.275 eV per atom
E above lowest polymorph = 0.000 eV per atom

a b c (Å): 6.033 6.033 2.612
angles (deg): 90.00 90.00 90.00
Sites, in units of the cell vectors:
B 0.000 0.000 0.000
Au 0.500 0.500 0.500
Se 0.000 0.500 0.000
Se 0.500 0.000 0.000
N 0.000 0.000 0.500

***

(2)
Entry from Alexandria via LeMat-Bulk: a relaxed SrCr3Co crystal (GGA-PBE).

Values from the calculation:
E above lowest polymorph = 1.803 eV per atom
Calculated formation energy = 2.76 eV per atom

a b c (Å): 5.030 5.030 5.030
angles (deg): 90.00 90.00 90.00
Sites, in units of the cell vectors:
Sr 0.000 0.000 0.000
Cr 0.000 0.000 0.500
Cr 0.000 0.500 0.000
Cr 0.500 0.000 0.000
Co 0.500 0.500 0.500

***

(3)
Entry from Alexandria via LeMat-Bulk: a relaxed ZrGaAu crystal (GGA-PBE).

Values from the calculation:
Calculated formation energy = -0.50 eV per atom

a b c (Å): 4.015 5.301 5.699
angles (deg): 90.02 90.10 112.25
Sites, in units of the cell vectors:
Zr 0.198 0.395 0.251
Zr 0.802 0.605 0.749
Ga 0.109 0.219 0.751
Ga 0.891 0.781 0.249
Au 0.500 0.000 0.000
Au 0.500 0.000 0.500

***

(4)
Entry from Alexandria via LeMat-Bulk: a relaxed La2CdRh crystal (GGA-PBE).

Values from the calculation:
Calculated formation energy = -0.48 eV per atom

a b c (Å): 4.712 4.066 6.283
angles (deg): 90.00 111.95 90.00
Sites, in units of the cell vectors:
La 0.000 0.000 0.000
La 0.300 0.500 0.601
Cd 0.597 0.500 0.195
Rh 0.777 0.000 0.552

***

(5)
Entry from Alexandria via LeMat-Bulk: a relaxed HoTm5Cd3 crystal (GGA-PBE).

Values from the calculation:
Calculated formation energy = -0.19 eV per atom

a b c (Å): 9.057 9.057 6.847
angles (deg): 90.00 90.00 120.00
Sites, in units of the cell vectors:
Ho 0.000 0.000 0.000
Ho 0.000 0.000 0.500
Tm 0.000 0.334 0.250
Tm 0.000 0.666 0.750
Tm 0.333 0.667 0.000
Tm 0.333 0.667 0.500
Tm 0.334 0.000 0.250
Tm 0.334 0.334 0.750
Tm 0.666 0.000 0.750
Tm 0.666 0.666 0.250
Tm 0.667 0.333 0.000
Tm 0.667 0.333 0.500
Cd 0.000 0.333 0.750
Cd 0.000 0.667 0.250
Cd 0.333 0.000 0.750
Cd 0.333 0.333 0.250
Cd 0.667 0.000 0.250
Cd 0.667 0.667 0.750

***

(6)
Entry from Alexandria via LeMat-Bulk: a relaxed SrYNi3 crystal (GGA-PBE).

Values from the calculation:
E above lowest polymorph = 0.469 eV per atom
Calculated formation energy = 1.06 eV per atom

a b c (Å): 4.836 4.836 4.836
angles (deg): 90.00 90.00 90.00
Sites, in units of the cell vectors:
Sr 0.000 0.000 0.000
Y 0.500 0.500 0.500
Ni 0.000 0.000 0.500
Ni 0.000 0.500 0.000
Ni 0.500 0.000 0.000

***

(7)
Entry from Alexandria via LeMat-Bulk: a relaxed CoReNi2 crystal (GGA-PBE).

Values from the calculation:
E above lowest polymorph = 0.149 eV per atom
Calculated formation energy = 0.16 eV per atom

a b c (Å): 2.620 2.620 24.766
angles (deg): 90.00 90.00 120.00
Sites, in units of the cell vectors:
Co 0.000 0.000 0.000
Co 0.333 0.667 0.667
Co 0.667 0.333 0.333
Re 0.000 0.000 0.500
Re 0.333 0.667 0.167
Re 0.667 0.333 0.833
Ni 0.000 0.000 0.253
Ni 0.000 0.000 0.747
Ni 0.333 0.667 0.414
Ni 0.333 0.667 0.919
Ni 0.667 0.333 0.081
Ni 0.667 0.333 0.586

***

(8)
Entry from Alexandria via LeMat-Bulk: a relaxed Sm12Ir6Pb crystal (GGA-PBE).

Values from the calculation:
Calculated formation energy = -0.55 eV per atom

a b c (Å): 8.822 8.822 8.822
angles (deg): 109.47 109.47 109.47
Sites, in units of the cell vectors:
Sm 0.110 0.303 0.807
Sm 0.193 0.496 0.303
Sm 0.193 0.890 0.697
Sm 0.303 0.193 0.496
Sm 0.303 0.807 0.110
Sm 0.496 0.303 0.193
Sm 0.504 0.697 0.807
Sm 0.697 0.193 0.890
Sm 0.697 0.807 0.504
Sm 0.807 0.110 0.303
Sm 0.807 0.504 0.697
Sm 0.890 0.697 0.193
Ir 0.124 0.500 0.624
Ir 0.376 0.876 0.500
Ir 0.500 0.376 0.876
Ir 0.500 0.624 0.124
Ir 0.624 0.124 0.500
Ir 0.876 0.500 0.376
Pb 0.000 0.000 0.000

***

(9)
Entry from Alexandria via LeMat-Bulk: a relaxed HoZrAsP crystal (GGA-PBE).

Values from the calculation:
Calculated formation energy = -1.32 eV per atom

a b c (Å): 3.843 3.843 20.169
angles (deg): 90.00 90.00 120.00
Sites, in units of the cell vectors:
Ho 0.000 0.000 0.000
Ho 0.333 0.667 0.667
Ho 0.667 0.333 0.333
Zr 0.000 0.000 0.180
Zr 0.333 0.667 0.847
Zr 0.667 0.333 0.514
As 0.000 0.000 0.762
As 0.333 0.667 0.429
As 0.667 0.333 0.095
P 0.000 0.000 0.584
P 0.333 0.667 0.251
P 0.667 0.333 0.918

***

(10)
Entry from Alexandria via LeMat-Bulk: a relaxed Li2Pd5Au crystal (GGA-PBE).

Values from the calculation:
Calculated formation energy = -0.29 eV per atom

a b c (Å): 5.560 5.555 5.516
angles (deg): 60.29 60.20 59.51
Sites, in units of the cell vectors:
Li 0.000 0.000 0.500
Li 0.500 0.500 0.000
Pd 0.000 0.000 0.000
Pd 0.000 0.500 0.000
Pd 0.000 0.500 0.500
Pd 0.500 0.000 0.000
Pd 0.500 0.000 0.500
Au 0.500 0.500 0.500

***

(11)
Entry from Alexandria via LeMat-Bulk: a relaxed TcBTeN2 crystal (GGA-PBE).

Values from the calculation:
Formation energy from raw total energies = 1.159 eV per atom
E above lowest polymorph = 0.000 eV per atom

a b c (Å): 3.775 3.775 5.732
angles (deg): 90.00 90.00 90.00
Sites, in units of the cell vectors:
Tc 0.000 0.000 0.000
B 0.500 0.500 0.500
Te 0.000 0.000 0.500
N 0.000 0.500 0.000
N 0.500 0.000 0.000

***

(12)
Entry from Alexandria via LeMat-Bulk: a relaxed Rb2SrTlCl6 crystal (GGA-PBE).

Values from the calculation:
Formation energy from raw total energies = -1.686 eV per atom
E above lowest polymorph = 0.044 eV per atom

a b c (Å): 7.999 7.999 7.999
angles (deg): 60.00 60.00 60.00
Sites, in units of the cell vectors:
Rb 0.250 0.250 0.250
Rb 0.750 0.750 0.750
Sr 0.000 0.000 0.000
Tl 0.500 0.500 0.500
Cl 0.251 0.251 0.749
Cl 0.251 0.749 0.251
Cl 0.251 0.749 0.749
Cl 0.749 0.251 0.251
Cl 0.749 0.251 0.749
Cl 0.749 0.749 0.251

***

(13)
Entry from Alexandria via LeMat-Bulk: a relaxed Li2ZnRu crystal (GGA-PBE).

Values from the calculation:
Calculated formation energy = -0.01 eV per atom

a b c (Å): 2.743 4.430 4.535
angles (deg): 90.00 90.00 90.00
Sites, in units of the cell vectors:
Li 0.000 0.000 0.000
Li 0.500 0.500 0.000
Zn 0.000 0.500 0.500
Ru 0.500 0.000 0.500

***

(14)
Entry from Alexandria via LeMat-Bulk: a relaxed NaTl2Pd5 crystal (GGA-PBE).

Values from the calculation:
E above lowest polymorph = 0.108 eV per atom
Calculated formation energy = -0.10 eV per atom

a b c (Å): 3.841 7.629 11.095
angles (deg): 90.00 90.00 90.00
Sites, in units of the cell vectors:
Na 0.000 0.000 0.000
Na 0.500 0.500 0.500
Tl 0.000 0.500 0.256
Tl 0.000 0.500 0.744
Tl 0.500 0.000 0.244
Tl 0.500 0.000 0.756
Pd 0.000 0.191 0.374
Pd 0.000 0.191 0.626
Pd 0.000 0.500 0.000
Pd 0.000 0.809 0.374
Pd 0.000 0.809 0.626
Pd 0.500 0.000 0.500
Pd 0.500 0.309 0.126
Pd 0.500 0.309 0.874
Pd 0.500 0.691 0.126
Pd 0.500 0.691 0.874

***

(15)
Entry from Alexandria via LeMat-Bulk: a relaxed KTc2Rh crystal (GGA-PBE).

Values from the calculation:
E above lowest polymorph = 0.041 eV per atom
Calculated formation energy = 0.60 eV per atom

a b c (Å): 2.762 3.785 7.960
angles (deg): 90.00 91.87 90.00
Sites, in units of the cell vectors:
K 0.000 0.000 0.000
Tc 0.105 0.000 0.493
Tc 0.483 0.500 0.642
Rh 0.543 0.500 0.318

***

(16)
Entry from Alexandria via LeMat-Bulk: a relaxed CsBeH4 crystal (GGA-PBE).

Values from the calculation:
DFT total energy = -36.9 eV for the cell shown

a b c (Å): 5.699 5.699 5.786
angles (deg): 99.03 99.03 69.64
Sites, in units of the cell vectors:
Cs 0.207 0.207 0.269
Cs 0.793 0.793 0.731
Be 0.439 0.439 0.825
Be 0.561 0.561 0.175
H 0.284 0.284 0.796
H 0.337 0.663 0.000
H 0.360 0.616 0.584
H 0.384 0.640 0.416
H 0.616 0.360 0.584
H 0.640 0.384 0.416
H 0.663 0.337 0.000
H 0.716 0.716 0.204

***

(17)
Entry from Alexandria via LeMat-Bulk: a relaxed SrCa3C crystal (GGA-PBE).

Values from the calculation:
E above lowest polymorph = 2.049 eV per atom
Calculated formation energy = 2.34 eV per atom

a b c (Å): 6.564 6.564 6.564
angles (deg): 90.00 90.00 90.00
Sites, in units of the cell vectors:
Sr 0.000 0.000 0.000
Ca 0.000 0.000 0.500
Ca 0.000 0.500 0.000
Ca 0.500 0.000 0.000
C 0.500 0.500 0.500

***

(18)
Entry from Alexandria via LeMat-Bulk: a relaxed TmMgRu2 crystal (GGA-PBE).

Values from the calculation:
Calculated formation energy = -0.07 eV per atom

a b c (Å): 3.340 3.340 6.219
angles (deg): 90.00 90.00 90.00
Sites, in units of the cell vectors:
Tm 0.000 0.000 0.000
Mg 0.000 0.000 0.500
Ru 0.500 0.500 0.278
Ru 0.500 0.500 0.722

***

(19)
Entry from Alexandria via LeMat-Bulk: a relaxed HfSc4Al3 crystal (GGA-PBE).

Values from the calculation:
Calculated formation energy = -0.34 eV per atom

a b c (Å): 3.262 3.262 15.269
angles (deg): 90.00 90.00 90.00
Sites, in units of the cell vectors:
Hf 0.000 0.000 0.000
Sc 0.500 0.500 0.139
Sc 0.500 0.500 0.380
Sc 0.500 0.500 0.620
Sc 0.500 0.500 0.861
Al 0.000 0.000 0.260
Al 0.000 0.000 0.500
Al 0.000 0.000 0.740

***

(20)
Entry from Alexandria via LeMat-Bulk: a relaxed CdTcRu2 crystal (GGA-PBE).

Values from the calculation:
Calculated formation energy = 0.44 eV per atom

a b c (Å): 2.846 4.638 9.610
angles (deg): 90.00 90.00 90.00
Sites, in units of the cell vectors:
Cd 0.000 0.000 0.000
Cd 0.500 0.500 0.500
Tc 0.000 0.500 0.223
Tc 0.500 0.000 0.723
Ru 0.000 0.000 0.501
Ru 0.000 0.500 0.773
Ru 0.500 0.000 0.273
Ru 0.500 0.500 0.001

***

(21)
Entry from Alexandria via LeMat-Bulk: a relaxed NaSr2GaCo crystal (GGA-PBE).

Values from the calculation:
Calculated formation energy = 0.03 eV per atom

a b c (Å): 5.749 5.749 4.703
angles (deg): 90.00 90.00 90.00
Sites, in units of the cell vectors:
Na 0.000 0.000 0.000
Sr 0.000 0.500 0.500
Sr 0.500 0.000 0.500
Ga 0.500 0.500 0.000
Co 0.500 0.500 0.500

***

(22)
Entry from Alexandria via LeMat-Bulk: a relaxed Rb2SrTiF6 crystal (GGA-PBE).

Values from the calculation:
Formation energy from raw total energies = -3.076 eV per atom

a b c (Å): 6.399 6.399 6.399
angles (deg): 60.00 60.00 60.00
Sites, in units of the cell vectors:
Rb 0.250 0.250 0.250
Rb 0.750 0.750 0.750
Sr 0.000 0.000 0.000
Ti 0.500 0.500 0.500
F 0.265 0.265 0.735
F 0.265 0.735 0.265
F 0.265 0.735 0.735
F 0.735 0.265 0.265
F 0.735 0.265 0.735
F 0.735 0.735 0.265

***

(23)
Entry from Alexandria via LeMat-Bulk: a relaxed CsLiOF2 crystal (GGA-PBE).

Values from the calculation:
Formation energy from raw total energies = -0.977 eV per atom

a b c (Å): 5.188 5.188 4.362
angles (deg): 90.00 90.00 90.00
Sites, in units of the cell vectors:
Cs 0.000 0.000 0.000
Li 0.500 0.500 0.500
O 0.000 0.000 0.500
F 0.000 0.500 0.000
F 0.500 0.000 0.000

***

(24)
Entry from Alexandria via LeMat-Bulk: a relaxed Al2BrCl crystal (GGA-PBE).

Values from the calculation:
Formation energy from raw total energies = -0.162 eV per atom
E above lowest polymorph = 0.479 eV per atom

a b c (Å): 3.481 6.023 8.839
angles (deg): 90.00 90.00 90.00
Sites, in units of the cell vectors:
Al 0.000 0.000 0.241
Al 0.000 0.000 0.759
Al 0.500 0.500 0.259
Al 0.500 0.500 0.741
Br 0.000 0.500 0.000
Br 0.500 0.000 0.500
Cl 0.000 0.500 0.500
Cl 0.500 0.000 0.000

***

(25)
Entry from Alexandria via LeMat-Bulk: a relaxed YReO2 crystal (GGA-PBE).

Values from the calculation:
Formation energy from raw total energies = -1.609 eV per atom
E above lowest polymorph = 0.000 eV per atom

a b c (Å): 3.263 3.263 19.046
angles (deg): 90.00 90.00 120.00
Sites, in units of the cell vectors:
Y 0.000 0.000 0.000
Y 0.333 0.667 0.667
Y 0.667 0.333 0.333
Re 0.000 0.000 0.500
Re 0.333 0.667 0.167
Re 0.667 0.333 0.833
O 0.000 0.000 0.395
O 0.000 0.000 0.605
O 0.333 0.667 0.061
O 0.333 0.667 0.272
O 0.667 0.333 0.728
O 0.667 0.333 0.939

***

(26)
Entry from Alexandria via LeMat-Bulk: a relaxed Ba2LiSb crystal (GGA-PBE).

Values from the calculation:
Formation energy from raw total energies = -0.573 eV per atom

a b c (Å): 5.723 5.723 4.659
angles (deg): 90.00 90.00 90.00
Sites, in units of the cell vectors:
Ba 0.000 0.500 0.000
Ba 0.500 0.000 0.000
Li 0.000 0.000 0.500
Sb 0.500 0.500 0.500